Model a:
A relaxed NiSNCl2 crystal, computed with PBE.

## Properties
- volume (A^3/atom) = 15.80
- N(E_F) (states/eV/atom) = 1.09

POSCAR file:
```
NiSNCl2
1.0
4.220 0.000 0.000
0.000 4.220 0.000
0.000 0.000 4.435
Ni S N Cl
1 1 1 2
Direct
0.000 0.000 0.000 Ni
0.500 0.500 0.000 S
0.500 0.500 0.500 N
0.000 0.500 0.500 Cl
0.500 0.000 0.500 Cl
```



Model b:
A relaxed NiSNCl2 crystal, computed with PBE.

## Properties
- volume (A^3/atom) = 16.69
- N(E_F) (states/eV/atom) = 1.10

POSCAR file:
```
NiSNCl2
1.0
4.941 0.000 0.000
0.000 4.941 0.000
0.000 0.000 3.420
Ni S N Cl
1 1 1 2
Direct
0.000 0.000 0.000 Ni
0.500 0.500 0.500 S
0.000 0.000 0.500 N
0.000 0.500 0.000 Cl
0.500 0.000 0.000 Cl
```



Model c:
A relaxed NiSNCl2 crystal, computed with PBE.

## Properties
- volume (A^3/atom) = 17.85
- N(E_F) (states/eV/atom) = 1.43

POSCAR file:
```
NiSNCl2
1.0
4.481 0.000 0.000
0.000 4.481 0.000
0.000 0.000 4.444
Ni S N Cl
1 1 1 2
Direct
0.000 0.000 0.000 Ni
0.000 0.000 0.500 S
0.500 0.500 0.500 N
0.000 0.500 0.000 Cl
0.500 0.000 0.000 Cl
```



Computed relative energies in units of eV/atom: model a 0.411; model b 0.000; model c 0.521



Model a:
A relaxed NiSe2NCl crystal, computed with PBE.

## Properties
- volume (A^3/atom) = 17.68
- N(E_F) (states/eV/atom) = 0.71

POSCAR file:
```
NiSe2NCl
1.0
5.122 0.000 0.000
0.000 5.122 0.000
0.000 0.000 3.370
Ni Se N Cl
1 2 1 1
Direct
0.000 0.000 0.000 Ni
0.000 0.500 0.000 Se
0.500 0.000 0.000 Se
0.000 0.000 0.500 N
0.500 0.500 0.500 Cl
```



Model b:
A relaxed NiSe2NCl crystal, computed with PBE.

## Properties
- volume (A^3/atom) = 17.41
- N(E_F) (states/eV/atom) = 0.86

POSCAR file:
```
NiSe2NCl
1.0
5.132 0.000 0.000
0.000 5.132 0.000
0.000 0.000 3.306
Ni Se N Cl
1 2 1 1
Direct
0.000 0.000 0.000 Ni
0.000 0.500 0.500 Se
0.500 0.000 0.500 Se
0.500 0.500 0.000 N
0.500 0.500 0.500 Cl
```



Computed relative energies in units of eV/atom: model a 0.000; model b 0.977



Model a:
A relaxed NiTeN2Cl crystal, computed with PBE.

## Properties
- volume (A^3/atom) = 20.28
- N(E_F) (states/eV/atom) = 1.00

POSCAR file:
```
NiTeN2Cl
1.0
3.632 0.000 0.000
0.000 3.632 0.000
0.000 0.000 7.689
Ni Te N Cl
1 1 2 1
Direct
0.000 0.000 0.000 Ni
0.500 0.500 0.000 Te
0.000 0.500 0.500 N
0.500 0.000 0.500 N
0.500 0.500 0.500 Cl
```



Model b:
A relaxed NiTeN2Cl crystal, computed with PBE.

## Properties
- volume (A^3/atom) = 16.44
- N(E_F) (states/eV/atom) = 0.44

POSCAR file:
```
NiTeN2Cl
1.0
3.842 0.000 0.000
0.000 3.842 0.000
0.000 0.000 5.567
Ni Te N Cl
1 1 2 1
Direct
0.000 0.000 0.000 Ni
0.000 0.000 0.500 Te
0.000 0.500 0.000 N
0.500 0.000 0.000 N
0.500 0.500 0.500 Cl
```



Computed relative energies in units of eV/atom: model a 0.936; model b 0.000



Model a:
A relaxed Os2NCl crystal, computed with PBE.

## Properties
- volume (A^3/atom) = 12.21
- N(E_F) (states/eV/atom) = 0.64

POSCAR file:
```
Os2NCl
1.0
0.000 2.901 2.901
2.901 0.000 2.901
2.901 2.901 0.000
Os N Cl
2 1 1
Direct
0.250 0.250 0.250 Os
0.750 0.750 0.750 Os
0.000 0.000 0.000 N
0.500 0.500 0.500 Cl
```



Model b:
A relaxed Os2NCl crystal, computed with PBE.

## Properties
- volume (A^3/atom) = 15.53
- N(E_F) (states/eV/atom) = 0.03

POSCAR file:
```
Os2NCl
1.0
-2.478 2.478 5.057
2.478 -2.478 5.057
2.478 2.478 -5.057
Os N Cl
4 2 2
Direct
0.035 0.625 0.910 Os
0.375 0.285 0.410 Os
0.715 0.125 0.090 Os
0.875 0.965 0.590 Os
0.000 0.000 0.000 N
0.750 0.250 0.500 N
0.250 0.750 0.500 Cl
0.500 0.500 0.000 Cl
```



Computed relative energies in units of eV/atom: model a 0.967; model b 0.000



Model a:
A relaxed OsNCl2 crystal, computed with PBE.

## Properties
- volume (A^3/atom) = 13.40
- N(E_F) (states/eV/atom) = 1.54

POSCAR file:
```
OsNCl2
1.0
0.000 2.992 2.992
2.992 0.000 2.992
2.992 2.992 0.000
Os N Cl
1 1 2
Direct
0.000 0.000 0.000 Os
0.500 0.500 0.500 N
0.250 0.250 0.250 Cl
0.750 0.750 0.750 Cl
```



Model b:
A relaxed OsNCl2 crystal, computed with PBE.

## Properties
- volume (A^3/atom) = 20.88
- N(E_F) (states/eV/atom) = 0.35

POSCAR file:
```
OsNCl2
1.0
1.486 0.858 10.914
-1.486 0.858 10.914
0.000 -1.716 10.914
Os N Cl
1 1 2
Direct
0.000 0.000 0.000 Os
0.500 0.500 0.500 N
0.067 0.067 0.067 Cl
0.933 0.933 0.933 Cl
```



Computed relative energies in units of eV/atom: model a 0.587; model b 0.000



Model a:
A relaxed OsNCl2 crystal, computed with PBE.

## Properties
- volume (A^3/atom) = 16.59
- N(E_F) (states/eV/atom) = 1.26

POSCAR file:
```
OsNCl2
1.0
-3.035 3.035 3.601
3.035 -3.035 3.601
3.035 3.035 -3.601
Os N Cl
2 2 4
Direct
0.000 0.000 0.000 Os
0.750 0.250 0.500 Os
0.250 0.750 0.500 N
0.500 0.500 0.000 N
0.114 0.625 0.989 Cl
0.375 0.364 0.489 Cl
0.636 0.125 0.011 Cl
0.875 0.886 0.511 Cl
```



Model b:
A relaxed OsNCl2 crystal, computed with PBE.

## Properties
- volume (A^3/atom) = 15.44
- N(E_F) (states/eV/atom) = 0.84

POSCAR file:
```
OsNCl2
1.0
1.549 0.894 7.432
-1.549 0.894 7.432
0.000 -1.789 7.432
Os N Cl
1 1 2
Direct
0.000 0.000 0.000 Os
0.500 0.500 0.500 N
0.416 0.416 0.416 Cl
0.584 0.584 0.584 Cl
```



Computed relative energies in units of eV/atom: model a 0.108; model b 0.000



Model a:
A relaxed OsNCl3 crystal, computed with PBE.

## Properties
- volume (A^3/atom) = 20.55
- N(E_F) (states/eV/atom) = 1.33

POSCAR file:
```
OsNCl3
1.0
4.684 0.000 0.000
0.000 4.684 0.000
0.000 0.000 4.684
Os N Cl
1 1 3
Direct
0.000 0.000 0.000 Os
0.500 0.500 0.500 N
0.000 0.000 0.500 Cl
0.000 0.500 0.000 Cl
0.500 0.000 0.000 Cl
```



Model b:
A relaxed OsNCl3 crystal, computed with PBE.

## Properties
- volume (A^3/atom) = 29.62
- N(E_F) (states/eV/atom) = 0.64

POSCAR file:
```
OsNCl3
1.0
7.084 0.000 0.000
0.000 6.674 0.000
-0.381 0.000 12.529
Os N Cl
4 4 12
Direct
0.074 0.125 0.117 Os
0.074 0.875 0.617 Os
0.926 0.125 0.383 Os
0.926 0.875 0.883 Os
0.020 0.358 0.205 N
0.020 0.642 0.705 N
0.980 0.358 0.295 N
0.980 0.642 0.795 N
0.099 0.202 0.541 Cl
0.099 0.798 0.041 Cl
0.208 0.011 0.285 Cl
0.208 0.989 0.785 Cl
0.350 0.228 0.047 Cl
0.350 0.772 0.547 Cl
0.650 0.228 0.453 Cl
0.650 0.772 0.953 Cl
0.792 0.011 0.215 Cl
0.792 0.989 0.715 Cl
0.901 0.202 0.959 Cl
0.901 0.798 0.459 Cl
```



Model c:
A relaxed OsNCl3 crystal, computed with PBE.

## Properties
- volume (A^3/atom) = 17.34
- N(E_F) (states/eV/atom) = 1.06

POSCAR file:
```
OsNCl3
1.0
4.426 0.000 0.000
0.000 4.426 0.000
0.000 0.000 4.426
Os N Cl
1 1 3
Direct
0.000 0.000 0.000 Os
0.500 0.500 0.500 N
0.000 0.500 0.500 Cl
0.500 0.000 0.500 Cl
0.500 0.500 0.000 Cl
```



Computed relative energies in units of eV/atom: model a 1.717; model b 0.000; model c 2.085



Model a:
A relaxed OsN2Cl6 crystal, computed with PBE.

## Properties
- volume (A^3/atom) = 29.11
- N(E_F) (states/eV/atom) = 0.95

POSCAR file:
```
OsN2Cl6
1.0
0.000 5.079 5.079
5.079 0.000 5.079
5.079 5.079 0.000
Os N Cl
1 2 6
Direct
0.000 0.000 0.000 Os
0.250 0.250 0.250 N
0.750 0.750 0.750 N
0.226 0.226 0.774 Cl
0.226 0.774 0.226 Cl
0.226 0.774 0.774 Cl
0.774 0.226 0.226 Cl
0.774 0.226 0.774 Cl
0.774 0.774 0.226 Cl
```



Model b:
A relaxed OsN2Cl6 crystal, computed with PBE.

## Properties
- volume (A^3/atom) = 43.86

POSCAR file:
```
OsN2Cl6
1.0
4.388 2.533 5.919
-4.388 2.533 5.919
0.000 -5.066 5.919
Os N Cl
1 2 6
Direct
0.000 0.000 0.000 Os
0.606 0.606 0.606 N
0.906 0.906 0.906 N
0.108 0.784 0.250 Cl
0.250 0.108 0.784 Cl
0.402 0.531 0.774 Cl
0.531 0.774 0.402 Cl
0.774 0.402 0.531 Cl
0.784 0.250 0.108 Cl
```



Computed relative energies in units of eV/atom: model a 0.671; model b 0.000



Model a:
A relaxed OsN2Cl crystal, computed with PBE.

## Properties
- volume (A^3/atom) = 10.18
- N(E_F) (states/eV/atom) = 0.48

POSCAR file:
```
OsN2Cl
1.0
0.000 2.731 2.731
2.731 0.000 2.731
2.731 2.731 0.000
Os N Cl
1 2 1
Direct
0.000 0.000 0.000 Os
0.250 0.250 0.250 N
0.750 0.750 0.750 N
0.500 0.500 0.500 Cl
```



Model b:
A relaxed OsN2Cl crystal, computed with PBE.

## Properties
- volume (A^3/atom) = 12.60
- N(E_F) (states/eV/atom) = 0.60

POSCAR file:
```
OsN2Cl
1.0
1.542 0.890 6.118
-1.542 0.890 6.118
0.000 -1.781 6.118
Os N Cl
1 2 1
Direct
0.000 0.000 0.000 Os
0.391 0.391 0.391 N
0.609 0.609 0.609 N
0.500 0.500 0.500 Cl
```



Computed relative energies in units of eV/atom: model a 1.422; model b 0.000



Model a:
A relaxed OsS2NCl crystal, computed with PBE.

## Properties
- volume (A^3/atom) = 14.07
- N(E_F) (states/eV/atom) = 0.69

POSCAR file:
```
OsS2NCl
1.0
4.678 0.000 0.000
0.000 4.678 0.000
0.000 0.000 3.215
Os S N Cl
1 2 1 1
Direct
0.000 0.000 0.000 Os
0.000 0.500 0.500 S
0.500 0.000 0.500 S
0.500 0.500 0.000 N
0.500 0.500 0.500 Cl
```



Model b:
A relaxed OsS2NCl crystal, computed with PBE.

## Properties
- volume (A^3/atom) = 13.62
- N(E_F) (states/eV/atom) = 0.99

POSCAR file:
```
OsS2NCl
1.0
4.145 0.000 0.000
0.000 4.145 0.000
0.000 0.000 3.962
Os S N Cl
1 2 1 1
Direct
0.000 0.000 0.000 Os
0.000 0.500 0.500 S
0.500 0.000 0.500 S
0.500 0.500 0.500 N
0.500 0.500 0.000 Cl
```



Computed relative energies in units of eV/atom: model a 0.411; model b 0.000



Model a:
A relaxed OsS2NCl crystal, computed with PBE.

## Properties
- volume (A^3/atom) = 17.11
- N(E_F) (states/eV/atom) = 1.10

POSCAR file:
```
OsS2NCl
1.0
4.795 0.000 0.000
0.000 4.795 0.000
0.000 0.000 3.720
Os S N Cl
1 2 1 1
Direct
0.000 0.000 0.000 Os
0.000 0.500 0.000 S
0.500 0.000 0.000 S
0.000 0.000 0.500 N
0.500 0.500 0.500 Cl
```



Model b:
A relaxed OsS2NCl crystal, computed with PBE.

## Properties
- volume (A^3/atom) = 19.58
- N(E_F) (states/eV/atom) = 1.46

POSCAR file:
```
OsS2NCl
1.0
4.500 0.000 0.000
0.000 4.500 0.000
0.000 0.000 4.836
Os S N Cl
1 2 1 1
Direct
0.000 0.000 0.000 Os
0.000 0.500 0.000 S
0.500 0.000 0.000 S
0.500 0.500 0.500 N
0.000 0.000 0.500 Cl
```



Computed relative energies in units of eV/atom: model a 0.000; model b 0.960



Model a:
A relaxed OsSN2Cl crystal, computed with PBE.

## Properties
- volume (A^3/atom) = 15.02
- N(E_F) (states/eV/atom) = 0.50

POSCAR file:
```
OsSN2Cl
1.0
3.770 0.000 0.000
0.000 3.770 0.000
0.000 0.000 5.285
Os S N Cl
1 1 2 1
Direct
0.000 0.000 0.000 Os
0.000 0.000 0.500 S
0.000 0.500 0.000 N
0.500 0.000 0.000 N
0.500 0.500 0.500 Cl
```



Model b:
A relaxed OsSN2Cl crystal, computed with PBE.

## Properties
- volume (A^3/atom) = 12.17
- N(E_F) (states/eV/atom) = 0.81

POSCAR file:
```
OsSN2Cl
1.0
3.721 0.000 0.000
0.000 3.721 0.000
0.000 0.000 4.393
Os S N Cl
1 1 2 1
Direct
0.000 0.000 0.000 Os
0.500 0.500 0.000 S
0.000 0.500 0.500 N
0.500 0.000 0.500 N
0.500 0.500 0.500 Cl
```



Computed relative energies in units of eV/atom: model a 0.000; model b 1.966



Model a:
A relaxed TeOsN2Cl crystal, computed with PBE.

## Properties
- volume (A^3/atom) = 15.33
- N(E_F) (states/eV/atom) = 0.92

POSCAR file:
```
TeOsN2Cl
1.0
3.880 0.000 0.000
0.000 3.880 0.000
0.000 0.000 5.093
Te Os N Cl
1 1 2 1
Direct
0.000 0.000 0.000 Te
0.500 0.500 0.000 Os
0.000 0.500 0.500 N
0.500 0.000 0.500 N
0.000 0.000 0.500 Cl
```



Model b:
A relaxed TeOsN2Cl crystal, computed with PBE.

## Properties
- volume (A^3/atom) = 17.12
- N(E_F) (states/eV/atom) = 0.38

POSCAR file:
```
TeOsN2Cl
1.0
3.856 0.000 0.000
0.000 3.856 0.000
0.000 0.000 5.758
Te Os N Cl
1 1 2 1
Direct
0.000 0.000 0.000 Te
0.000 0.000 0.500 Os
0.000 0.500 0.500 N
0.500 0.000 0.500 N
0.500 0.500 0.000 Cl
```



Computed relative energies in units of eV/atom: model a 2.122; model b 0.000